(1)
{"formula": "InPtCl2", "functional": "PBE", "state": "relaxed", "cell": [[1.716, -3.397, 0.000], [1.716, 3.397, 0.000], [0.000, 0.000, 9.015]], "species": ["In", "Pt", "Cl", "Cl"], "frac_coords": [[0.000, 0.000, 0.000], [0.000, 0.000, 0.500], [0.500, 0.500, 0.320], [0.500, 0.500, 0.680]], "formation_energy_uncorrected_ev_per_fu": -0.461, "relative_energy_ev_per_atom": 0.322, "mass_density_kg_m3": 6017}


(2)
{"formula": "Ce2Mg2Hg", "functional": "PBE", "state": "relaxed", "cell": [[-2.022, 2.022, 8.485], [2.022, -2.022, 8.485], [2.022, 2.022, -8.485]], "species": ["Ce", "Ce", "Mg", "Mg", "Hg"], "frac_coords": [[0.085, 0.085, 0.000], [0.915, 0.915, 0.000], [0.293, 0.293, 0.000], [0.707, 0.707, 0.000], [0.500, 0.500, 0.000]], "relative_energy_ev_per_atom": 0.090, "mass_density_kg_m3": 6334, "formation_enthalpy_0k_mev_per_atom": -29}


(3)
{"formula": "Fe2SiW", "functional": "PBE", "state": "relaxed", "cell": [[2.533, -4.138, 0.000], [2.533, 4.138, 0.000], [-1.001, 0.000, 2.453]], "species": ["Fe", "Fe", "Si", "W"], "frac_coords": [[0.000, 0.500, 0.000], [0.500, 0.000, 0.000], [0.000, 0.000, 0.500], [0.500, 0.500, 0.500]], "formation_energy_uncorrected_ev_per_fu": 0.173, "mass_density_kg_m3": 10449}


(4)
{"formula": "K5NaHg6", "functional": "PBE", "state": "relaxed", "cell": [[4.954, -8.945, 0.000], [4.954, 8.945, 0.000], [-3.734, 0.000, 4.848]], "species": ["K", "K", "K", "K", "K", "Na", "Hg", "Hg", "Hg", "Hg", "Hg", "Hg"], "frac_coords": [[0.000, 0.000, 0.000], [0.152, 0.848, 0.500], [0.312, 0.688, 0.000], [0.688, 0.312, 0.000], [0.848, 0.152, 0.500], [0.500, 0.500, 0.500], [0.144, 0.452, 0.300], [0.309, 0.309, 0.812], [0.452, 0.144, 0.300], [0.548, 0.856, 0.700], [0.691, 0.691, 0.188], [0.856, 0.548, 0.700]], "mass_density_kg_m3": 5496, "formation_enthalpy_0k_mev_per_atom": -228}


(5)
{"formula": "Al2ReOs", "functional": "PBE", "state": "relaxed", "cell": [[3.108, 0.000, 0.000], [0.000, 3.108, 0.000], [0.000, 0.000, 5.889]], "species": ["Al", "Al", "Re", "Os"], "frac_coords": [[0.000, 0.000, 0.000], [0.500, 0.500, 0.256], [0.500, 0.500, 0.771], [0.000, 0.000, 0.481]], "relative_energy_ev_per_atom": 0.020, "mass_density_kg_m3": 12564, "formation_enthalpy_0k_mev_per_atom": -213}


(6)
{"formula": "CaMgZr2", "functional": "PBE", "state": "relaxed", "cell": [[3.251, -5.138, 0.000], [3.251, 5.138, 0.000], [0.000, 0.000, 3.019]], "species": ["Ca", "Mg", "Zr", "Zr"], "frac_coords": [[0.000, 0.000, 0.000], [0.500, 0.500, 0.000], [0.000, 0.500, 0.500], [0.500, 0.000, 0.500]], "mass_density_kg_m3": 4063, "formation_enthalpy_0k_mev_per_atom": 330}


(7)
{"formula": "Ca2MnNiMo", "functional": "PBE", "state": "relaxed", "cell": [[5.394, 0.000, 0.000], [0.000, 5.394, 0.000], [0.000, 0.000, 4.438]], "species": ["Ca", "Ca", "Mn", "Ni", "Mo"], "frac_coords": [[0.000, 0.500, 0.000], [0.500, 0.000, 0.000], [0.000, 0.000, 0.500], [0.500, 0.500, 0.500], [0.500, 0.500, 0.000]], "mass_density_kg_m3": 3725, "formation_enthalpy_0k_mev_per_atom": 1664}


(8)
{"formula": "SrZr2Rh", "functional": "PBE", "state": "relaxed", "cell": [[1.708, 0.986, 9.781], [-1.708, 0.986, 9.781], [0.000, -1.973, 9.781]], "species": ["Sr", "Zr", "Zr", "Rh"], "frac_coords": [[0.000, 0.000, 0.000], [0.526, 0.526, 0.526], [0.774, 0.774, 0.774], [0.253, 0.253, 0.253]], "relative_energy_ev_per_atom": 0.235, "mass_density_kg_m3": 6262, "formation_enthalpy_0k_mev_per_atom": 58}


(9)
{"formula": "UMn2Pd", "functional": "PBE", "state": "relaxed", "cell": [[4.106, 0.000, 0.000], [0.000, 4.106, 0.000], [0.000, 0.000, 3.750]], "species": ["U", "Mn", "Mn", "Pd"], "frac_coords": [[0.000, 0.000, 0.000], [0.000, 0.500, 0.500], [0.500, 0.000, 0.500], [0.500, 0.500, 0.000]], "mass_density_kg_m3": 11930, "formation_enthalpy_0k_mev_per_atom": -57}


(10)
{"formula": "Hf7As2S2", "functional": "PBE", "state": "relaxed", "cell": [[-1.723, 7.104, 4.194], [1.723, -7.104, 4.194], [1.723, 7.104, -4.194]], "species": ["Hf", "Hf", "Hf", "Hf", "Hf", "Hf", "Hf", "As", "As", "S", "S"], "frac_coords": [[0.000, 0.000, 0.000], [0.055, 0.379, 0.677], [0.112, 0.759, 0.353], [0.406, 0.759, 0.647], [0.464, 0.583, 0.881], [0.702, 0.379, 0.323], [0.702, 0.583, 0.119], [0.329, 0.329, 0.000], [0.734, 0.234, 0.500], [0.327, 0.083, 0.243], [0.840, 0.083, 0.757]], "formation_energy_uncorrected_ev_per_fu": -9.888, "mass_density_kg_m3": 11837}


(11)
{"formula": "LaRePd2", "functional": "PBE", "state": "relaxed", "cell": [[0.000, 3.412, 3.412], [3.412, 0.000, 3.412], [3.412, 3.412, 0.000]], "species": ["La", "Re", "Pd", "Pd"], "frac_coords": [[0.000, 0.000, 0.000], [0.500, 0.500, 0.500], [0.250, 0.250, 0.250], [0.750, 0.750, 0.750]], "relative_energy_ev_per_atom": 0.000, "mass_density_kg_m3": 11242, "formation_enthalpy_0k_mev_per_atom": 207}


(12)
{"formula": "SbSe", "functional": "PBE", "state": "relaxed", "cell": [[0.000, 3.630, 3.630], [3.630, 0.000, 3.630], [3.630, 3.630, 0.000]], "species": ["Sb", "Sb", "Se", "Se"], "frac_coords": [[0.125, 0.125, 0.125], [0.875, 0.875, 0.875], [0.375, 0.375, 0.375], [0.625, 0.625, 0.625]], "formation_energy_uncorrected_ev_per_fu": 0.563, "mass_density_kg_m3": 6970}